Computed, not measured: a geometry-optimized InOsRh4 structure at the PBE level of DFT.

Values from the calculation:
Symmetry ... F-43m, No. 216
ΔH_f (0 K) ... 2.56 eV per formula unit
N(E_F) ... 8.9 states/eV/f.u.

a b c (Å): 5.1298 5.1298 5.1298
angles (deg): 60.00 60.00 60.00
Last column: nearest neighbours and their distance in Å.
Fractional coordinates of all 6 atoms:
Rh1 0.8758 0.3747 0.3747  6 Rh 2.56-2.57
Rh2 0.3747 0.3747 0.8758  6 Rh 2.56-2.57
Rh3 0.3747 0.8758 0.3747  6 Rh 2.56-2.57
Rh4 0.3747 0.3747 0.3747  6 Rh 2.56-2.57
In1 0.7500 0.7500 0.7500  12 Rh 3.01, 4 Os 3.14
Os1 0.0000 0.0000 0.0000  12 Rh 3.01, 4 In 3.14